1.
4
Lattice="0.000 3.232 3.232 3.232 0.000 3.232 3.232 3.232 0.000" Properties=species:S:1:pos:R:3 comment="Ta2NbOs | OQMD | PBE | optimized geometry" mass_density_kg_m3=15867 space_group=Fm-3m e_form_mev_per_atom=-315.4 pbc="T T T"
Ta 1.616 1.616 1.616
Ta 4.848 4.848 4.848
Nb 0.000 0.000 0.000
Os 3.232 3.232 3.232

---

2.
3
Lattice="0.000 3.525 3.525 3.525 0.000 3.525 3.525 3.525 0.000" Properties=species:S:1:pos:R:3 comment="GdThGe | OQMD | PBE | optimized geometry" mass_density_kg_m3=8756 space_group=F-43m energy_ev_per_cell=-15.20 pbc="T T T"
Gd 0.000 0.000 0.000
Th 1.763 1.763 1.763
Ge 5.288 5.288 5.288

---

3.
4
Lattice="0.000 3.288 3.288 3.288 0.000 3.288 3.288 3.288 0.000" Properties=species:S:1:pos:R:3 comment="LiAlPtPb | OQMD | PBE | optimized geometry" mass_density_kg_m3=10187 space_group=F-43m energy_ev_per_cell=-16.74 pbc="T T T"
Li 0.000 0.000 0.000
Al 1.644 1.644 1.644
Pt 3.288 3.288 3.288
Pb 4.932 4.932 4.932

---

4.
2
Lattice="3.097 0.000 0.000 -1.548 2.682 0.000 0.000 0.000 4.996" Properties=species:S:1:pos:R:3 comment="TmMo | OQMD | PBE | optimized geometry" mass_density_kg_m3=10602 space_group=P-6m2 e_form_mev_per_atom=621.9 pbc="T T T"
Tm 0.000 0.000 0.000
Mo 0.000 1.788 2.498

---

5.
14
Lattice="6.363 0.000 0.000 0.000 6.539 0.000 -6.244 0.000 7.647" Properties=species:S:1:pos:R:3 comment="AgHgPS4 | OQMD | PBE | optimized geometry" mass_density_kg_m3=4882 space_group=Pc energy_ev_per_cell=-52.66 pbc="T T T"
Ag 0.000 0.902 0.000
Ag -3.122 5.637 3.823
Hg 3.232 2.075 1.959
Hg 0.110 4.464 5.783
P 0.113 1.194 3.852
P 3.235 5.345 0.029
S -1.929 1.393 4.148
S 1.193 5.146 0.325
S 0.646 2.271 2.164
S -2.476 4.268 5.987
S -2.438 0.786 7.433
S 0.684 5.753 3.610
S 1.077 2.008 5.486
S 4.199 4.531 1.662

---

6.
108
Lattice="19.639 0.000 0.000 0.000 7.164 0.000 -1.717 0.000 13.246" Properties=species:S:1:pos:R:3 comment="Ag3TeIO4 | OQMD | PBE | optimized geometry" mass_density_kg_m3=6866 space_group=P2_1/c energy_ev_per_cell=-449.12 pbc="T T T"
Ag -0.416 0.221 5.117
Ag -1.275 3.360 11.740
Ag 1.188 0.459 0.531
Ag 0.329 3.123 7.154
Ag 2.260 1.373 3.448
Ag 1.401 2.209 10.071
Ag 2.139 4.685 4.656
Ag 1.280 6.060 11.279
Ag 4.465 4.674 11.883
Ag 5.324 6.071 5.260
Ag 4.711 1.092 10.264
Ag 5.570 2.490 3.641
Ag 7.213 3.720 1.415
Ag 6.354 7.026 8.038
Ag 6.533 0.952 12.566
Ag 7.392 2.630 5.942
Ag 6.932 4.602 10.019
Ag 7.790 6.143 3.396
Ag 10.132 1.020 9.850
Ag 10.990 2.562 3.227
Ag 10.530 4.534 7.304
Ag 11.389 6.212 0.681
Ag 11.568 0.138 5.209
Ag 10.709 3.444 11.832
Ag 12.352 4.674 9.605
Ag 13.211 6.071 2.982
Ag 12.598 1.093 7.986
Ag 13.457 2.489 1.363
Ag 16.642 1.103 1.967
Ag 15.783 2.478 8.590
Ag 16.521 4.955 3.175
Ag 15.662 5.791 9.798
Ag 17.593 4.041 6.092
Ag 16.734 6.705 12.715
Ag 19.197 3.803 1.506
Ag 18.338 6.942 8.129
Te 3.002 3.670 0.749
Te 2.143 7.075 7.372
Te 3.662 4.673 8.651
Te 4.520 6.072 2.028
Te 4.874 1.257 0.037
Te 4.015 2.325 6.660
Te 13.907 4.839 6.587
Te 13.048 5.907 13.210
Te 13.401 1.092 11.218
Te 14.260 2.490 4.595
Te 15.778 0.088 5.874
Te 14.920 3.493 12.497
I -1.072 0.688 10.953
I -0.213 2.894 4.330
I 8.238 1.772 3.248
I 7.379 1.810 9.871
I 7.864 5.376 6.320
I 7.005 5.369 12.944
I 10.916 1.794 0.303
I 10.058 1.787 6.926
I 10.542 5.354 3.375
I 9.684 5.392 9.998
I 18.135 4.270 8.917
I 18.993 6.476 2.293
O 0.741 0.961 8.125
O 1.600 2.620 1.502
O 0.183 4.707 12.849
O 1.042 6.039 6.226
O 2.961 4.863 2.362
O 2.102 5.883 8.985
O 2.627 1.128 5.859
O 1.768 2.454 12.482
O 3.418 0.080 0.814
O 2.559 3.501 7.437
O 3.226 3.647 10.171
O 4.084 7.098 3.548
O 3.531 1.124 8.220
O 4.390 2.458 1.597
O 4.587 4.864 0.399
O 3.728 5.882 7.022
O 3.195 0.214 11.710
O 4.053 3.368 5.087
O 5.926 0.072 1.236
O 5.067 3.510 7.859
O 5.852 5.023 2.904
O 4.993 5.722 9.527
O 5.562 1.286 6.278
O 4.703 2.296 12.901
O 13.218 4.868 0.345
O 12.360 5.877 6.968
O 12.929 1.442 3.719
O 12.070 2.140 10.342
O 12.854 3.654 5.387
O 11.996 7.091 12.010
O 13.868 3.795 8.159
O 14.727 6.950 1.536
O 14.194 1.282 6.224
O 13.335 2.300 12.847
O 13.532 4.706 11.649
O 14.390 6.040 5.026
O 13.838 0.066 9.698
O 14.696 3.516 3.075
O 15.363 3.662 5.809
O 14.504 7.083 12.432
O 16.154 4.710 0.765
O 15.295 6.036 7.388
O 15.820 1.281 4.261
O 14.961 2.301 10.885
O 16.880 1.125 7.020
O 17.739 2.457 0.397
O 16.322 4.543 11.745
O 17.181 6.202 5.122

---

7.
6
Lattice="0.000 4.403 4.403 4.403 0.000 4.403 4.403 4.403 0.000" Properties=species:S:1:pos:R:3 comment="TmBr2 | OQMD | PBE | optimized geometry" mass_density_kg_m3=6394 space_group=Fd-3m energy_ev_per_cell=-15.25 pbc="T T T"
Tm 1.101 1.101 1.101
Tm 7.706 7.706 7.706
Br 4.403 2.202 2.202
Br 2.202 4.403 2.202
Br 2.202 2.202 4.403
Br 4.403 4.403 4.403

---

8.
8
Lattice="-2.819 2.819 5.506 2.819 -2.819 5.506 2.819 2.819 -5.506" Properties=species:S:1:pos:R:3 comment="BeCdSi2As4 | OQMD | PBE | optimized geometry" mass_density_kg_m3=4530 space_group=I-4 energy_ev_per_cell=-35.13 pbc="T T T"
Be 0.000 0.000 0.000
Cd 2.819 0.000 2.753
Si 0.000 0.000 5.506
Si 0.000 2.819 2.753
As 4.172 1.268 -1.259
As 1.268 1.465 1.259
As -1.353 1.550 4.247
As 1.550 1.353 6.765